Computed, not measured: crystalline MgAl2Ag at its relaxed geometry at the PBE level of DFT.

Cell lengths 14.2990, 8.0510, 5.2098 Å; angles 90.00, 90.00, 90.00 degrees
Last column: nearest neighbours and their distance in Å.
Space group Pnma (No. 62)
Unique sites:
Mg  0.1157  0.2500  0.2431 (multiplicity 4)  3 Ag 2.74-2.85
Mg  0.1385  0.7500  0.4715 (multiplicity 4)  3 Ag 2.77-2.85
Al  0.0320  0.0446  0.7380 (multiplicity 8)  3 Ag 2.68-2.71, 3 Al 2.74-2.97
Al  0.2160  0.5438  0.9516 (multiplicity 8)  3 Ag 2.66-2.68, 3 Al 2.87-2.94
Ag  0.0687  0.7500  0.9673 (multiplicity 4)  6 Al 2.68-2.71, 3 Mg 2.77-2.85
Ag  0.1816  0.2500  0.7360 (multiplicity 4)  6 Al 2.66-2.70, 3 Mg 2.74-2.85

Properties
Electronic total energy (eV/atom): -3.0334
Total magnetization (μB per formula unit): 0.0
Energy relative to the elements (eV per atom): -0.05



Computed, not measured: crystalline MgAl2Ag6 at its relaxed geometry at the PBE level of DFT.

Cell lengths 13.2815, 9.6265, 4.9406 Å; angles 90.00, 96.51, 90.00 degrees
Last column: nearest neighbours and their distance in Å.
Space group C2/c (No. 15)
Unique sites:
Mg  0.0000  0.1206  0.2500 (multiplicity 4)  10 Ag 2.81-3.02
Al  0.1639  0.3731  0.0913 (multiplicity 8)  10 Ag 2.70-3.02
Ag  0.0556  0.3768  0.5209 (multiplicity 8)  4 Al 2.70-3.02, 5 Ag 2.79-2.91, 1 Mg 2.86
Ag  0.1150  0.1308  0.8060 (multiplicity 8)  2 Al 2.76-2.92, 3 Mg 2.81-2.99, 5 Ag 2.82-3.04
Ag  0.2287  0.1230  0.3448 (multiplicity 8)  4 Al 2.72-2.98, 5 Ag 2.87-2.91, 1 Mg 3.02

Properties
Polymorph energy (0 for the lowest one) (eV/atom): 0.017
Electronic total energy (eV/atom): -2.9842
Total magnetization (μB per formula unit): 0.0
Energy relative to the elements (eV per atom): -0.07



Computed, not measured: crystalline MgAl6Ag12 at its relaxed geometry at the PBE level of DFT.

Cell lengths 12.1340, 12.1340, 8.4927 Å; angles 90.00, 90.00, 120.00 degrees
Last column: nearest neighbours and their distance in Å.
Space group R-3m (No. 166, hexagonal axes)
Unique sites:
Mg  0.0000  0.0000  0.0000 (multiplicity 3)  6 Ag 2.86
Al  0.0712  0.5356  0.2355 (multiplicity 18)  8 Ag 2.71-2.97, 2 Al 2.99
Ag  0.0000  0.3825  0.5000 (multiplicity 18)  4 Al 2.71-2.76, 5 Ag 2.81-3.01
Ag  0.0799  0.1598  0.2728 (multiplicity 18)  4 Al 2.73-2.97, 4 Ag 2.81-2.91, 1 Mg 2.86

Properties
Polymorph energy (0 for the lowest one) (eV/atom): 0.127
Electronic total energy (eV/atom): -3.0039
Total magnetization (μB per formula unit): 0.0
Energy relative to the elements (eV per atom): 0.06



Computed, not measured: crystalline Mg2Al2Ag5 at its relaxed geometry at the PBE level of DFT.

Cell lengths 16.0657, 7.5705, 5.7253 Å; angles 90.00, 90.00, 90.00 degrees
Last column: nearest neighbours and their distance in Å.
Space group Ima2 (No. 46)
Unique sites:
Mg  0.0000  0.0000  0.0000 (multiplicity 4)  4 Ag 3.02-3.08, 4 Al 3.11-3.15
Mg  0.2500  0.0504  0.0084 (multiplicity 4)  11 Ag 2.84-3.08
Al  0.0775  0.5320  0.9962 (multiplicity 8)  1 Al 2.54, 5 Ag 2.57-2.83
Ag  0.1193  0.2465  0.7537 (multiplicity 8)  2 Al 2.66, 3 Ag 2.86-2.97, 2 Mg 2.96
Ag  0.1618  0.7431  0.2581 (multiplicity 8)  2 Al 2.57-2.58, 3 Ag 2.83-2.86
Ag  0.2500  0.0433  0.5037 (multiplicity 4)  2 Al 2.83, 3 Mg 2.84-3.08, 8 Ag 2.97-3.02

Properties
Polymorph energy (0 for the lowest one) (eV/atom): 0.000
Electronic total energy (eV/atom): -2.8058
Total magnetization (μB per formula unit): 0.0
Energy relative to the elements (eV per atom): -0.04



Computed, not measured: crystalline Mg4AlAg at its relaxed geometry at the PBE level of DFT.

Cell lengths 6.5339, 6.5350, 6.7028 Å; angles 90.00, 90.09, 90.00 degrees
Last column: nearest neighbours and their distance in Å.
Space group C2/m (No. 12)
Unique sites:
Mg  0.2499  0.2497  0.2439 (multiplicity 8)  2 Ag 2.83, 2 Al 2.88
Al  0.0000  0.0000  0.5000 (multiplicity 2)  8 Mg 2.88
Ag  0.0000  0.5000  0.0000 (multiplicity 2)  8 Mg 2.83

Properties
Polymorph energy (0 for the lowest one) (eV/atom): 0.124
Electronic total energy (eV/atom): -2.1120
Total magnetization (μB per formula unit): 0.0
Energy relative to the elements (eV per atom): 0.05



Computed, not measured: crystalline MgAl2Ag at its relaxed geometry at the PBE level of DFT.

Cell lengths 7.8591, 7.8591, 5.3582 Å; angles 90.00, 90.00, 90.00 degrees
Last column: nearest neighbours and their distance in Å.
Space group I-42d (No. 122)
Unique sites:
Mg  0.0000  0.0000  0.0000 (multiplicity 4)  2 Ag 2.68
Al  0.2067  0.2500  0.6250 (multiplicity 8)  2 Ag 2.64, 2 Al 2.76
Ag  0.0000  0.0000  0.5000 (multiplicity 4)  4 Al 2.64, 2 Mg 2.68

Properties
Electronic total energy (eV/atom): -2.7761
Total magnetization (μB per formula unit): 0.0
Energy relative to the elements (eV per atom): 0.21



Computed, not measured: crystalline Mg2Al3Ag2 at its relaxed geometry at the PBE level of DFT.

Cell lengths 9.6944, 4.2996, 6.9019 Å; angles 90.00, 113.79, 90.00 degrees
Last column: nearest neighbours and their distance in Å.
Space group C2/m (No. 12)
Unique sites:
Mg  0.1487  0.0000  0.2798 (multiplicity 4)  4 Ag 2.83-2.98, 3 Al 3.10-3.12
Al  0.0000  0.5000  0.5000 (multiplicity 2)  4 Ag 2.63, 2 Al 2.79
Al  0.1181  0.5000  0.9418 (multiplicity 4)  3 Ag 2.62-2.75, 2 Al 2.72-2.79
Ag  0.1390  0.0000  0.7057 (multiplicity 4)  5 Al 2.62-2.75, 1 Mg 2.83

Properties
Electronic total energy (eV/atom): -2.9620
Total magnetization (μB per formula unit): 0.0
Energy relative to the elements (eV per atom): -0.09



Computed, not measured: crystalline MgAl2Ag at its relaxed geometry at the PBE level of DFT.

Cell lengths 3.0225, 4.1871, 5.7116 Å; angles 90.00, 90.00, 90.00 degrees
Last column: nearest neighbours and their distance in Å.
Space group Pmmm (No. 47)
Unique sites:
Mg  0.0000  0.0000  0.0000 (multiplicity 1)  2 Ag 2.86, 8 Al 2.97, 2 Mg 3.02
Al  0.5000  0.5000  0.2555 (multiplicity 2)  4 Al 2.79-3.02, 4 Ag 2.94, 4 Mg 2.97
Ag  0.0000  0.0000  0.5000 (multiplicity 1)  2 Mg 2.86, 8 Al 2.94, 2 Ag 3.02

Properties
Electronic total energy (eV/atom): -2.9798
Total magnetization (μB per formula unit): 0.0
Energy relative to the elements (eV per atom): 0.00



Computed, not measured: crystalline MgAl5Ag8 at its relaxed geometry at the PBE level of DFT.

Cell lengths 7.7454, 7.7454, 8.4704 Å; angles 90.00, 90.00, 90.00 degrees
Last column: nearest neighbours and their distance in Å.
Space group I-4 (No. 82)
Unique sites:
Mg  0.0000  0.0000  0.0000 (multiplicity 2)  4 Ag 2.76
Al  0.0000  0.5000  0.7500 (multiplicity 2)  8 Ag 2.62-2.72
Al  0.1264  0.2870  0.3273 (multiplicity 8)  8 Ag 2.73-3.05, 2 Al 3.01
Ag  0.0710  0.1686  0.6675 (multiplicity 8)  4 Al 2.72-2.83, 3 Ag 2.83-2.91
Ag  0.1024  0.3411  0.0066 (multiplicity 8)  5 Al 2.62-2.83, 1 Mg 2.76, 3 Ag 2.87-2.93

Properties
Electronic total energy (eV/atom): -3.0542
Total magnetization (μB per formula unit): 0.0
Energy relative to the elements (eV per atom): 0.03



Computed, not measured: crystalline Mg2AlAgN at its relaxed geometry at the PBE level of DFT.

Cell lengths 4.3867, 4.3867, 3.8854 Å; angles 90.00, 90.00, 90.00 degrees
Last column: nearest neighbours and their distance in Å.
Space group P4/mmm (No. 123)
Unique sites:
Mg  0.0000  0.5000  0.0000 (multiplicity 2)  2 N 2.19
Al  0.0000  0.0000  0.5000 (multiplicity 1)  2 N 1.94
Ag  0.5000  0.5000  0.5000 (multiplicity 1)  8 Mg 2.93, 4 Al 3.10
N  0.0000  0.0000  0.0000 (multiplicity 1)  2 Al 1.94

Properties
E_form (uncorrected) (eV per atom): -0.317
Electronic total energy (eV/atom): -3.9387
Total magnetization (μB per formula unit): 0.0



Computed, not measured: crystalline Nd2MgAl4Ag3 at its relaxed geometry at the PBE level of DFT.

Cell lengths 4.3320, 4.3320, 11.4375 Å; angles 90.00, 90.00, 90.00 degrees
Last column: nearest neighbours and their distance in Å.
Space group P-4m2 (No. 115)
Unique sites:
Nd  0.0000  0.5000  0.2417 (multiplicity 2)  8 Al 3.31-3.51, 6 Ag 3.32-3.66, 2 Mg 3.66
Mg  0.0000  0.0000  0.5000 (multiplicity 1)  4 Al 2.76, 4 Ag 3.06
Al  0.0000  0.0000  0.0000 (multiplicity 1)  4 Ag 2.62
Al  0.0000  0.5000  0.6493 (multiplicity 2)  3 Ag 2.53-2.76, 2 Mg 2.76
Al  0.5000  0.5000  0.0000 (multiplicity 1)  4 Ag 2.62
Ag  0.0000  0.5000  0.8707 (multiplicity 2)  5 Al 2.53-2.62
Ag  0.5000  0.5000  0.5000 (multiplicity 1)  4 Al 2.76, 4 Mg 3.06

Properties
Electronic total energy (eV/atom): -3.7863
Total magnetization (μB per formula unit): 0.0
Energy relative to the elements (eV per atom): -0.32



Computed, not measured: crystalline NdMgAl2Ag5 at its relaxed geometry at the PBE level of DFT.

Cell lengths 4.9040, 4.9040, 7.8839 Å; angles 90.00, 90.00, 90.00 degrees
Last column: nearest neighbours and their distance in Å.
Space group P4/mmm (No. 123)
Unique sites:
Nd  0.0000  0.0000  0.0000 (multiplicity 1)  12 Ag 3.11-3.47
Mg  0.0000  0.0000  0.5000 (multiplicity 1)  8 Ag 3.18
Al  0.5000  0.5000  0.3390 (multiplicity 2)  1 Al 2.54, 5 Ag 2.57-2.67
Ag  0.0000  0.5000  0.2422 (multiplicity 4)  2 Al 2.57
Ag  0.5000  0.5000  0.0000 (multiplicity 1)  2 Al 2.67

Properties
Electronic total energy (eV/atom): -3.1733
Total magnetization (μB per formula unit): 0.0
Energy relative to the elements (eV per atom): -0.05